Entry 1:
Density functional theory data (PBE) for YFeCuSb after structural relaxation.

Values from the calculation:
Excess energy over the best structure of this formula in the dataset ... 0.000 eV/atom
Crystal system ... cubic

Lattice parameters (Å, degrees): 4.6506 4.6506 4.6506 60.00 60.00 60.00
With the nearest neighbours (Å) after each atom.
Sites, in units of the cell vectors:
Y (0.5000, 0.5000, 0.5000)  4 Cu 2.85, 4 Fe 2.85
Fe (0.7500, 0.7500, 0.7500)  4 Sb 2.85, 4 Y 2.85
Cu (0.2500, 0.2500, 0.2500)  4 Y 2.85, 4 Sb 2.85
Sb (0.0000, 0.0000, 0.0000)  4 Fe 2.85, 4 Cu 2.85

Entry 2:
Density functional theory data (PBE) for YFeCuSb after structural relaxation.

Values from the calculation:
Excess energy over the best structure of this formula in the dataset ... 0.234 eV/atom
Crystal system ... cubic

Lattice parameters (Å, degrees): 4.7934 4.7934 4.7934 60.00 60.00 60.00
With the nearest neighbours (Å) after each atom.
Sites, in units of the cell vectors:
Cu (0.7500, 0.7500, 0.7500)  4 Sb 2.94, 4 Fe 2.94
Y (0.2500, 0.2500, 0.2500)  4 Fe 2.94, 4 Sb 2.94
Sb (0.0000, 0.0000, 0.0000)  4 Cu 2.94, 4 Y 2.94
Fe (0.5000, 0.5000, 0.5000)  4 Y 2.94, 4 Cu 2.94

Entry 3:
Density functional theory data (PBE) for ZnFeCuSb after structural relaxation.

Values from the calculation:
Excess energy over the best structure of this formula in the dataset ... 0.000 eV/atom
Crystal system ... cubic

Lattice parameters (Å, degrees): 4.3821 4.3821 4.3821 60.00 60.00 60.00
With the nearest neighbours (Å) after each atom.
Sites, in units of the cell vectors:
Zn (0.5000, 0.5000, 0.5000)  4 Fe 2.68, 4 Cu 2.68
Fe (0.7500, 0.7500, 0.7500)  4 Zn 2.68, 4 Sb 2.68
Sb (0.0000, 0.0000, 0.0000)  4 Cu 2.68, 4 Fe 2.68
Cu (0.2500, 0.2500, 0.2500)  4 Sb 2.68, 4 Zn 2.68

Entry 4:
Density functional theory data (PBE) for Sc8FeCu2 after structural relaxation.

Values from the calculation:
Crystal system ... monoclinic
ΔE_f ... -1.70 eV/f.u.

Lattice parameters (Å, degrees): 8.1938 8.1938 6.2178 108.21 108.21 33.71
With the nearest neighbours (Å) after each atom.
Sites, in units of the cell vectors:
Cu (0.1823, 0.1823, 0.7040)  3 Sc 2.58-2.65
Cu (0.8177, 0.8177, 0.2960)  3 Sc 2.58-2.65
Sc (0.5932, 0.5932, 0.4333)  1 Fe 2.61
Sc (0.1949, 0.1949, 0.3013)  1 Cu 2.58
Sc (0.3360, 0.3360, 0.0327)  1 Cu 2.60, 1 Fe 2.65
Sc (0.9710, 0.9710, 0.2040)  1 Cu 2.65, 2 Fe 2.80, 1 Sc 2.96
Sc (0.0290, 0.0290, 0.7960)  1 Cu 2.65, 2 Fe 2.80, 1 Sc 2.96
Sc (0.4068, 0.4068, 0.5667)  1 Fe 2.61
Sc (0.6640, 0.6640, 0.9673)  1 Cu 2.60, 1 Fe 2.65
Sc (0.8051, 0.8051, 0.6987)  1 Cu 2.58
Fe (0.5000, 0.5000, 0.0000)  8 Sc 2.61-2.80

no.,calculated volume (Å³/atom)
1,17.8
2,19.5
3,14.9
4,19.9